DFT (PBE) results for SrGaAgSn2 after structural relaxation.

Unit cell a=4.827 b=4.827 c=6.717 alpha=111.06 beta=111.06 gamma=90.00
Element x y z (fractional)
Sn 0.624 0.624 0.247
Sn 0.376 0.376 0.753
Ag 0.250 0.750 0.500
Ga 0.750 0.250 0.500
Sr 0.000 0.000 0.000

## Properties
As for the final energy: -3.428 eV/atom. As for the formation energy: -1.6 eV per formula unit.

---

DFT (PBE) results for Zr2I3 after structural relaxation.

Unit cell a=3.728 b=10.185 c=10.579 alpha=113.13 beta=90.00 gamma=100.54
Element x y z (fractional)
I 0.630 0.259 0.415
I 0.195 0.391 0.141
I 0.069 0.139 0.736
I 0.931 0.861 0.264
I 0.805 0.609 0.859
I 0.370 0.741 0.585
Zr 0.943 0.887 0.818
Zr 0.417 0.835 0.039
Zr 0.583 0.165 0.961
Zr 0.057 0.113 0.182

## Properties
The formation energy (no corrections) comes out at -747 meV per atom. As for the final energy: -5.096 eV/atom.

---

DFT (PBE) results for CaCuSe2 after structural relaxation.

Unit cell a=6.119 b=6.119 c=4.411 alpha=98.83 beta=98.83 gamma=37.78
Element x y z (fractional)
Se 0.226 0.226 0.425
Se 0.979 0.979 0.949
Cu 0.791 0.791 0.667
Ca 0.503 0.503 0.458

## Properties
The formation energy (no corrections) comes out at -896 meV per atom. As for the final energy: -4.163 eV/atom.

---

DFT (PBE) results for Nd2HRh after structural relaxation.

Unit cell a=3.357 b=3.357 c=7.168 alpha=90.00 beta=90.00 gamma=90.00
Element x y z (fractional)
Nd 0.000 0.000 0.247
Nd 0.000 0.000 0.753
H 0.500 0.500 0.000
Rh 0.500 0.500 0.500

## Properties
As for the final energy: -5.351 eV/atom. The value obtained for the energy above the most stable polymorph in this dataset is 271 meV per atom.

---

DFT (PBE) results for CsBeVTe3 after structural relaxation.

Unit cell a=4.085 b=10.148 c=10.452 alpha=117.28 beta=90.00 gamma=90.00
Element x y z (fractional)
V 0.750 0.358 0.877
V 0.250 0.642 0.123
Be 0.750 0.923 0.408
Be 0.250 0.077 0.592
Cs 0.250 0.201 0.239
Cs 0.750 0.799 0.761
Te 0.250 0.522 0.837
Te 0.750 0.846 0.151
Te 0.750 0.478 0.163
Te 0.250 0.800 0.446
Te 0.750 0.200 0.554
Te 0.250 0.154 0.849

## Properties
The formation energy (no corrections) comes out at -530 meV per atom. As for the final energy: -4.384 eV/atom.

---

DFT (PBE) results for CaMn2Al10 after structural relaxation.

Unit cell a=6.839 b=6.839 c=9.091 alpha=90.00 beta=90.00 gamma=97.36
Element x y z (fractional)
Al 0.843 0.157 0.404
Al 0.843 0.157 0.096
Al 0.781 0.525 0.250
Al 0.413 0.132 0.750
Al 0.771 0.771 0.000
Al 0.525 0.781 0.750
Al 0.868 0.587 0.750
Al 0.229 0.229 0.000
Al 0.626 0.374 0.957
Al 0.374 0.626 0.457
Al 0.587 0.868 0.250
Al 0.132 0.413 0.250
Al 0.771 0.771 0.500
Al 0.157 0.843 0.904
Al 0.157 0.843 0.596
Al 0.374 0.626 0.043
Al 0.626 0.374 0.543
Al 0.229 0.229 0.500
Al 0.219 0.475 0.750
Al 0.475 0.219 0.250
Mn 0.500 0.000 0.000
Mn 0.000 0.500 0.000
Mn 0.000 0.500 0.500
Mn 0.500 0.000 0.500
Ca 0.124 0.876 0.250
Ca 0.876 0.124 0.750

## Properties
As for the final energy: -4.681 eV/atom. As for the formation energy: -3.1 eV per formula unit.